(1)
Entry from the Alexandria database: a relaxed MnCuN3 crystal (PBE).

```
MnCuN3
1.0
3.7218 0.0000 0.0000
0.0000 3.7218 0.0000
0.0000 0.0000 3.7218
Mn Cu N
1 1 3
Cartesian
0.0000 0.0000 0.0000
1.8609 1.8609 1.8609
0.0000 1.8609 1.8609
1.8609 0.0000 1.8609
1.8609 1.8609 0.0000
```

Properties
**Total energy**: -29.6 eV/cell

***

(2)
Entry from the Alexandria database: a relaxed Mn3SnH crystal (PBE).

```
Mn3SnH
1.0
8.4801 -1.9158 0.0000
8.4801 1.9158 0.0000
-0.0032 0.0000 3.8364
Mn Sn H
6 2 2
Cartesian
0.0000 0.0000 0.0000
5.1043 0.0000 1.9142
6.7437 0.0000 3.8345
8.5039 0.0000 1.9177
10.4699 0.0000 0.0003
15.1812 0.0000 1.9166
2.2877 0.0000 1.9180
13.1936 0.0000 3.8317
8.6578 0.0000 3.8350
16.8438 0.0000 1.9185
```

Properties
**Total energy**: -69.0 eV/cell

***

(3)
Entry from the Alexandria database: a relaxed MgZr2Mo crystal (PBE).

```
MgZr2Mo
1.0
2.8879 0.0000 0.0000
0.0000 2.8879 0.0000
0.0000 0.0000 9.8703
Mg Zr Mo
1 2 1
Cartesian
0.0000 0.0000 0.0000
1.4439 1.4439 2.6243
1.4439 1.4439 7.2460
0.0000 0.0000 4.9351
```

Properties
**Formation energy**: 0.186 eV/atom
**Total energy**: -28.8 eV/cell
**Relative energy among the computed polymorphs**: 207.8 meV per atom

***

(4)
Entry from the Alexandria database: a relaxed La2MgCoCu crystal (PBE).

```
La2MgCoCu
1.0
5.1914 0.0000 0.0000
0.0000 5.1914 0.0000
0.0000 0.0000 4.8187
La Mg Co Cu
2 1 1 1
Cartesian
0.0000 2.5957 0.0000
2.5957 0.0000 0.0000
0.0000 0.0000 2.4093
2.5957 2.5957 0.0000
2.5957 2.5957 2.4093
```

Properties
**Formation energy**: 0.023 eV/atom
**Total energy**: -22.5 eV/cell
**Relative energy among the computed polymorphs**: 13.7 meV per atom

***

(5)
Entry from the Alexandria database: a relaxed La2Sm3Dy6Er crystal (PBE).

```
La2Sm3Dy6Er
1.0
3.1176 -5.3987 0.0000
3.1176 5.3987 0.0000
-2.0725 0.0000 11.6920
La Sm Dy Er
2 3 6 1
Cartesian
3.1176 3.6045 0.0000
3.1176 -3.6045 0.0000
-1.0362 0.0000 5.8460
2.0813 1.8002 5.8460
2.0813 -1.8002 5.8460
0.0059 1.7926 8.7497
1.0519 0.0000 2.9464
0.0059 -1.7926 8.7497
4.1568 1.7926 2.9423
3.1108 0.0000 8.7455
4.1568 -1.7926 2.9423
3.1176 0.0000 0.0000
```

Properties
**Formation energy**: 0.017 eV/atom
**Total energy**: -56.0 eV/cell

***

(6)
Entry from the Alexandria database: a relaxed TbHgBi crystal (PBE).

```
TbHgBi
1.0
4.7102 0.0000 0.0000
0.0000 4.7102 0.0000
0.0000 0.0000 15.7117
Tb Hg Bi
4 4 4
Cartesian
0.0000 0.0000 2.2992
0.0000 0.0000 13.4125
2.3551 2.3551 5.5566
2.3551 2.3551 10.1550
0.0000 0.0000 5.2745
0.0000 0.0000 10.4372
2.3551 2.3551 2.5814
2.3551 2.3551 13.1303
0.0000 2.3551 0.0000
0.0000 2.3551 7.8558
2.3551 0.0000 0.0000
2.3551 0.0000 7.8558
```

Properties
**Formation energy**: -0.391 eV/atom
**Total energy**: -39.9 eV/cell
**Relative energy among the computed polymorphs**: 64.1 meV per atom

***

For reference, total moment by record: 1.67; 7.68; 0.00; 0.00; 0.00; 0.00 μB/cell.